The following is a GGA-PBE calculation of a relaxed structure of Li5FeAgN2, from Alexandria via LeMat-Bulk.

Formation energy without anion corrections: -0.202 eV per atom
Space group: P4/mmm
Calculated volume: 14.23 A^3/atom

extended XYZ file:
```
9
Lattice="-0.1976 -1.9112 -3.6743 3.8755 -1.3825 0.5108 -2.6249 -6.1282 3.3287" Properties=species:S:1:pos:R:3 pbc="T T T"
N -2.0258 -4.7296 2.5690
N -0.5991 -1.3986 0.7597
Li -1.3124 -3.0641 1.6644
Li -2.1598 -5.7674 0.7766
Li -0.1233 -5.5031 2.8691
Li 1.3739 -2.0077 0.9704
Li -0.6626 -2.2720 -1.1221
Fe 0.0000 0.0000 0.0000
Ag 0.5265 -4.7110 0.0826
```

***

The following is a GGA-PBE calculation of a relaxed structure of LiFeAgP2, from Alexandria via LeMat-Bulk.

Formation energy: 959 meV per atom
Space group: P4/mmm
Calculated volume: 19.93 A^3/atom

extended XYZ file:
```
5
Lattice="-0.9760 3.3981 3.1995 -4.0479 -1.6134 0.4788 1.5487 -2.8478 3.4969" Properties=species:S:1:pos:R:3 pbc="T T T"
P 0.7744 -1.4239 1.7485
P -0.4880 1.6991 1.5998
Fe -1.7376 -0.5315 3.5876
Li -2.0240 -0.8067 0.2394
Ag 0.0000 0.0000 0.0000
```

***

The following is a GGA-PBE calculation of a relaxed structure of Li2FeAgPt, from Alexandria via LeMat-Bulk.

Formation energy: 694 meV per atom
Energy above the lowest structure with this stoichiometry: 49 meV per atom
Space group: P4/mmm
Calculated volume: 18.17 A^3/atom

extended XYZ file:
```
5
Lattice="-4.0768 1.3185 0.4616 -0.6251 -3.2068 3.6390 1.2838 2.9745 2.8418" Properties=species:S:1:pos:R:3 pbc="T T T"
Li -2.0384 0.6593 0.2308
Li 0.6419 1.4873 1.4209
Ag 0.0000 0.0000 0.0000
Fe -0.3126 -1.6034 1.8195
Pt -1.7091 0.5431 3.4712
```

***

The following is a GGA-PBE calculation of a relaxed structure of Li2FeAgPt, from Alexandria via LeMat-Bulk.

Formation energy: 645 meV per atom
Energy above the lowest structure with this stoichiometry: 0 meV per atom
Space group: P4/mmm
Calculated volume: 20.89 A^3/atom

extended XYZ file:
```
5
Lattice="-1.2108 0.7394 -4.2581 -4.7965 -1.6454 1.0782 -1.1977 4.1914 1.0684" Properties=species:S:1:pos:R:3 pbc="T T T"
Li -0.6054 0.3697 -2.1290
Li -0.5988 2.0957 0.5342
Fe -3.6025 1.6427 -1.0558
Pt 0.0000 0.0000 0.0000
Ag -2.3983 -0.8227 0.5391
```

***

The following is a GGA-PBE calculation of a relaxed structure of LiZrFe2Ag, from Alexandria via LeMat-Bulk.

Formation energy: 626 meV per atom
Energy above the lowest structure with this stoichiometry: 0 meV per atom
Space group: P4/mmm
Calculated volume: 15.12 A^3/atom

extended XYZ file:
```
5
Lattice="-0.7677 3.8466 -1.5281 -3.8778 -1.2691 -1.2466 -1.5785 1.1646 3.7246" Properties=species:S:1:pos:R:3 pbc="T T T"
Zr -3.1120 1.8711 0.4749
Li 0.0000 0.0000 0.0000
Fe -0.7893 0.5823 1.8623
Fe -0.3838 1.9233 -0.7641
Ag -1.9389 -0.6346 -0.6233
```

***

The following is a GGA-PBE calculation of a relaxed structure of LiZrFe2Ag, from Alexandria via LeMat-Bulk.

Formation energy: 1298 meV per atom
Energy above the lowest structure with this stoichiometry: 672 meV per atom
Space group: P4/mmm
Calculated volume: 20.73 A^3/atom

extended XYZ file:
```
5
Lattice="-1.1712 2.5512 3.5612 3.1748 -2.6119 2.9152 3.3213 2.9208 -1.0001" Properties=species:S:1:pos:R:3 pbc="T T T"
Li 1.5874 -1.3060 1.4576
Zr 0.0000 0.0000 0.0000
Ag 2.6625 1.4300 2.7381
Fe 1.6606 1.4604 -0.5001
Fe -0.5856 1.2756 1.7806
```